Entry 1:
! La3Sm4Sc | Alexandria | PBE | optimized geometry; values from VASP
&SYSTEM
  ibrav = 0, nat = 16, ntyp = 3
/
ATOMIC_SPECIES
La 138.91 La.upf
Sm 150.36 Sm.upf
Sc 44.96 Sc.upf
ATOMIC_POSITIONS angstrom
La -5.634 2.012 -1.524
La -6.908 4.361 0.868
La -4.227 2.119 1.796
La -4.059 0.645 5.061
La -5.458 2.943 7.433
La -8.144 5.190 6.533
Sm -6.203 -1.553 -1.127
Sm -2.278 3.385 -0.992
Sm -3.607 5.784 1.311
Sm -7.576 0.825 1.324
Sm -7.406 -0.751 4.535
Sm -3.505 4.251 4.655
Sm -8.778 1.630 6.831
Sm -4.872 6.631 7.107
Sc -2.803 -0.192 -0.584
Sc -6.876 2.814 4.129
CELL_PARAMETERS angstrom
-2.188 5.802 -1.326
-6.721 -2.777 -1.061
-2.467 1.652 11.303
! SG = Pmn2_1 (31)
! Polymorph energy (0 for the lowest one) = 0 meV per atom
! Formation enthalpy at 0 K = 0.41 eV/f.u.
! Total magnetization = 0.0 μB per formula unit



Entry 2:
! ZrNiTe2 | Alexandria | PBE | optimized geometry; values from VASP
&SYSTEM
  ibrav = 0, nat = 4, ntyp = 3
/
ATOMIC_SPECIES
Ni 58.69 Ni.upf
Te 127.60 Te.upf
Zr 91.22 Zr.upf
ATOMIC_POSITIONS angstrom
Ni 1.094 2.178 1.529
Te 0.385 0.281 0.000
Te 3.117 2.277 0.000
Zr 2.989 -0.416 1.529
CELL_PARAMETERS angstrom
5.398 -0.037 0.000
1.608 5.153 0.000
-2.921 -3.354 3.058
! ΔE_f (raw) = -0.282 eV/atom
! SG = Immm (71)
! Polymorph energy (0 for the lowest one) = 443 meV per atom
! Total magnetization = 0.0 μB per formula unit



Entry 3:
! ZrV3Sn | Alexandria | PBE | optimized geometry; values from VASP
&SYSTEM
  ibrav = 0, nat = 5, ntyp = 3
/
ATOMIC_SPECIES
Sn 118.71 Sn.upf
Zr 91.22 Zr.upf
V 50.94 V.upf
ATOMIC_POSITIONS angstrom
Sn 2.337 2.337 2.337
Zr 0.000 0.000 0.000
V 0.000 2.337 0.000
V 0.000 0.000 2.337
V 2.337 0.000 0.000
CELL_PARAMETERS angstrom
4.674 0.000 0.000
0.000 4.674 0.000
0.000 0.000 4.674
! SG = Pm-3m (221)
! Polymorph energy (0 for the lowest one) = 5 meV per atom
! Formation enthalpy at 0 K = 7.10 eV/f.u.
! Total magnetization = 0.0 μB per formula unit



Entry 4:
! MnPOsS2 | Alexandria | PBE | optimized geometry; values from VASP
&SYSTEM
  ibrav = 0, nat = 5, ntyp = 4
/
ATOMIC_SPECIES
P 30.97 P.upf
S 32.06 S.upf
Mn 54.94 Mn.upf
Os 190.23 Os.upf
ATOMIC_POSITIONS angstrom
P 0.000 0.000 2.175
S 0.000 2.140 0.000
S 2.140 0.000 0.000
Mn 0.000 0.000 0.000
Os 2.140 2.140 2.175
CELL_PARAMETERS angstrom
4.281 0.000 0.000
0.000 4.281 0.000
0.000 0.000 4.349
! ΔE_f (raw) = 1.086 eV/atom
! SG = P4/mmm (123)
! Polymorph energy (0 for the lowest one) = 355 meV per atom
! Total magnetization = 0.3 μB per formula unit



Entry 5:
! NaLa3Ir | Alexandria | PBE | optimized geometry; values from VASP
&SYSTEM
  ibrav = 0, nat = 10, ntyp = 3
/
ATOMIC_SPECIES
Na 22.99 Na.upf
Ir 192.22 Ir.upf
La 138.91 La.upf
ATOMIC_POSITIONS angstrom
Na 6.356 3.178 8.354
Na 6.356 3.178 1.139
Ir 0.000 0.000 0.000
Ir 3.178 6.356 4.746
La 4.754 6.356 2.231
La 3.178 4.780 7.262
La 3.178 7.932 7.262
La 1.602 6.356 2.231
La 3.178 3.178 4.208
La 6.356 6.356 5.285
CELL_PARAMETERS angstrom
6.356 0.000 0.000
0.000 6.356 0.000
3.178 3.178 9.493
! SG = I-4m2 (119)
! Polymorph energy (0 for the lowest one) = 426 meV per atom
! Formation enthalpy at 0 K = 0.51 eV/f.u.
! Total magnetization = 0.0 μB per formula unit



Entry 6:
! Ho2ZnCu4Si3 | Alexandria | PBE | optimized geometry; values from VASP
&SYSTEM
  ibrav = 0, nat = 10, ntyp = 4
/
ATOMIC_SPECIES
Ho 164.93 Ho.upf
Zn 65.41 Zn.upf
Cu 63.55 Cu.upf
Si 28.09 Si.upf
ATOMIC_POSITIONS angstrom
Ho -2.416 1.914 0.676
Ho -1.480 6.319 4.484
Zn -2.942 3.596 3.427
Cu -1.989 -1.042 1.693
Cu 0.000 0.000 0.000
Cu -3.170 5.584 2.047
Cu -0.726 2.650 3.113
Si -0.954 4.638 1.733
Si -3.605 7.698 2.838
Si -0.291 0.535 2.322
CELL_PARAMETERS angstrom
-3.904 -0.679 -0.333
-0.073 -1.405 3.720
-1.908 9.275 3.466
! ΔE_f (raw) = -0.504 eV/atom
! SG = P-4m2 (115)
! Total magnetization = 0.0 μB per formula unit